A relaxed structure of MnFe2Pd9, computed with PBE.

Geometry as POSCAR:
```
MnFe2Pd9
1.0
-3.287 0.388 2.064
-1.970 -1.899 -2.780
2.187 -10.159 5.389
Pd Fe Mn
9 2 1
direct
0.000 0.500 0.170
0.000 0.500 0.830
0.000 0.500 0.500
0.500 0.000 0.500
0.500 0.000 0.830
0.500 0.500 0.335
0.500 0.500 0.000
0.500 0.000 0.170
0.500 0.500 0.665
0.000 0.000 0.667
0.000 0.000 0.333
0.000 0.000 0.000
```

Output
- DOS(E_F): 9.1 states/eV/cell
- Calculated total energy: -6.21 eV/atom
- Total magnetization: 12.710 μB per cell
- ΔH_f (0 K): -143 meV/atom

***

A relaxed structure of Sr2CdBi2, computed with PBE.

Geometry as POSCAR:
```
Sr2CdBi2
1.0
-1.546 8.263 -0.128
-4.668 -0.985 -7.213
-8.188 -1.508 5.506
Sr Cd Bi
8 4 8
direct
0.000 0.256 0.095
0.000 0.744 0.905
0.489 0.785 0.353
0.511 0.215 0.647
0.011 0.285 0.647
0.500 0.756 0.905
0.500 0.244 0.095
0.989 0.715 0.353
0.323 0.415 0.382
0.677 0.585 0.618
0.823 0.085 0.382
0.177 0.915 0.618
0.217 0.088 0.362
0.783 0.912 0.638
0.753 0.930 0.128
0.717 0.412 0.362
0.283 0.588 0.638
0.247 0.070 0.872
0.747 0.430 0.872
0.253 0.570 0.128
```

Output
- DOS(E_F): 0.7 states/eV/cell
- Calculated total energy: -3.11 eV/atom
- Total magnetization: 0.000 μB per cell
- ΔH_f (0 K): -698 meV/atom

***

A relaxed structure of MnIn2B, computed with PBE.

Geometry as POSCAR:
```
MnIn2B
1.0
-1.607 3.780 7.462
7.305 -3.068 3.128
3.866 2.101 4.630
Mn In B
2 4 2
direct
0.000 0.000 0.000
0.750 0.250 0.500
0.252 0.625 0.250
0.875 0.748 0.750
0.375 0.502 0.750
0.498 0.125 0.250
0.500 0.500 0.000
0.250 0.750 0.500
```

Output
- DOS(E_F): 4.9 states/eV/cell
- Calculated total energy: -4.81 eV/atom
- Total magnetization: 7.063 μB per cell
- ΔH_f (0 K): 520 meV/atom

***

A relaxed structure of Ce3GaCo3, computed with PBE.

Geometry as POSCAR:
```
Ce3GaCo3
1.0
5.037 0.000 0.000
0.000 8.274 0.000
0.000 -4.137 7.166
Ce Co Ga
6 6 2
direct
0.250 0.048 0.702
0.750 0.702 0.655
0.250 0.298 0.345
0.250 0.655 0.952
0.750 0.345 0.048
0.750 0.952 0.298
0.250 0.674 0.627
0.750 0.326 0.373
0.750 0.047 0.674
0.750 0.627 0.953
0.250 0.953 0.326
0.250 0.373 0.047
0.250 0.667 0.333
0.750 0.333 0.667
```

Output
- DOS(E_F): 14.9 states/eV/cell
- Calculated total energy: -6.16 eV/atom
- Energy relative to the lowest polymorph listed for this composition: 19.6 kJ/mol of atoms
- Total magnetization: 0.000 μB per cell
- ΔH_f (0 K): -137 meV/atom

***

A relaxed structure of PmPrZnIr, computed with PBE.

Geometry as POSCAR:
```
PmPrZnIr
1.0
-2.643 1.415 2.708
-3.142 -2.668 -1.672
2.805 -4.653 2.155
Pr Pm Zn Ir
1 1 1 1
direct
0.140 0.000 0.279
0.862 0.500 0.724
0.568 0.500 0.136
0.431 0.000 0.861
```

Output
- DOS(E_F): 3.6 states/eV/cell
- Calculated total energy: -5.42 eV/atom
- Energy relative to the lowest polymorph listed for this composition: 0.0 kJ/mol of atoms
- Total magnetization: 0.000 μB per cell
- ΔH_f (0 K): -507 meV/atom

***

A relaxed structure of Tb3Tl2Ag6, computed with PBE.

Geometry as POSCAR:
```
Tb3Tl2Ag6
1.0
-1.063 -3.752 -0.009
3.433 -0.968 -1.577
5.606 0.397 16.779
Tl Tb Ag
2 3 6
direct
0.636 0.636 0.272
0.364 0.364 0.728
0.000 0.000 0.000
0.184 0.184 0.368
0.816 0.816 0.632
0.931 0.431 0.862
0.431 0.931 0.862
0.730 0.730 0.460
0.569 0.069 0.138
0.270 0.270 0.540
0.069 0.569 0.138
```

Output
- DOS(E_F): 7.2 states/eV/cell
- Calculated total energy: -3.30 eV/atom
- Total magnetization: 0.067 μB per cell
- ΔH_f (0 K): -55 meV/atom

***

A relaxed structure of GaPS3, computed with PBE.

Geometry as POSCAR:
```
GaPS3
1.0
-2.167 -1.354 2.130
3.172 -7.104 -3.887
5.502 4.663 8.565
S P Ga
6 2 2
direct
0.804 0.608 0.918
0.622 0.243 0.386
0.378 0.757 0.614
0.073 0.145 0.727
0.196 0.392 0.082
0.927 0.855 0.273
0.044 0.087 0.246
0.956 0.913 0.754
0.336 0.672 0.091
0.664 0.328 0.909
```

Output
- Calculated total energy: -4.45 eV/atom
- Total magnetization: 0.000 μB per cell
- Formation energy (no corrections): -0.285 eV/atom

***

A relaxed structure of YInF5, computed with PBE.

Geometry as POSCAR:
```
YInF5
1.0
6.032 -0.277 -0.160
1.651 5.808 -0.160
2.553 1.838 7.028
F In Y
10 2 2
direct
0.286 0.220 0.363
0.220 0.286 0.863
0.340 0.674 0.039
0.714 0.780 0.637
0.153 0.847 0.750
0.660 0.326 0.961
0.780 0.714 0.137
0.326 0.660 0.461
0.847 0.153 0.250
0.674 0.340 0.539
0.000 0.000 0.000
0.000 0.000 0.500
0.543 0.457 0.250
0.457 0.543 0.750
```

Output
- DOS(E_F): 2.7 states/eV/cell
- Calculated total energy: -5.82 eV/atom
- Total magnetization: 0.000 μB per cell
- Formation energy (no corrections): -3.167 eV/atom

***

Question: calculated total energy of number 7 (GaPS3)?
Answer: -4.45 eV/atom

***

Question: Which of these has the highest total magnetization?
Answer: MnFe2Pd9